## Fe2CoCuRe (PBE)

Data for Fe2CoCuRe after structural relaxation.

Properties
Symmetry   P4/mmm
Electronic total energy   -6.521 eV per atom
Calculated formation energy   1593.6 meV per atom

```
Fe2CoCuRe
1.0
-1.358 1.838 3.823
-4.223 -0.490 -1.265
-0.102 -4.027 1.901
Re Co Fe Cu
1 1 2 1
direct
0.000 0.000 0.000
0.000 0.500 0.000
0.000 0.000 0.500
0.500 0.000 0.000
0.500 0.500 0.500
```


## FeCo2CuSi (PBE)

Data for FeCo2CuSi after structural relaxation.

Properties
ΔE_f (raw)   6.276 eV per formula unit
Symmetry   P4/mmm
Electronic total energy   -5.184 eV per atom

```
FeCo2CuSi
1.0
-0.822 -0.777 -3.941
4.248 0.569 -0.998
0.686 -3.990 0.644
Si Co Fe Cu
1 2 1 1
direct
0.500 0.500 0.500
0.000 0.000 0.500
0.500 0.000 0.000
0.000 0.000 0.000
0.000 0.500 0.000
```


## FeCoCuSn (PBE)

Data for FeCoCuSn after structural relaxation.

Properties
Symmetry   F-43m
Electronic total energy   -5.822 eV per atom
Calculated formation energy   95.3 meV per atom

```
FeCoCuSn
1.0
4.282 0.000 0.000
2.141 3.708 0.000
2.141 1.236 3.496
Co Sn Cu Fe
1 1 1 1
direct
0.000 0.000 0.000
0.250 0.250 0.250
0.500 0.500 0.500
0.750 0.750 0.750
```


## Ta2FeCoCu (PBE)

Data for Ta2FeCoCu after structural relaxation.

Properties
Symmetry   P4/mmm
Electronic total energy   -7.171 eV per atom
Calculated formation energy   1503.3 meV per atom

```
Ta2FeCoCu
1.0
4.565 0.000 0.000
0.000 4.119 0.000
0.000 0.000 4.565
Co Fe Cu Ta
1 1 1 2
direct
0.000 0.500 0.000
0.500 0.500 0.500
0.000 0.000 0.000
0.000 0.000 0.500
0.500 0.000 0.000
```


## TaFeCoCu (PBE)

Data for TaFeCoCu after structural relaxation.

Properties
Symmetry   F-43m
Electronic total energy   -7.881 eV per atom
Calculated formation energy   -1.8 meV per atom

```
TaFeCoCu
1.0
4.151 0.000 0.000
2.075 3.595 0.000
2.075 1.198 3.389
Co Fe Cu Ta
1 1 1 1
direct
0.000 0.000 0.000
0.500 0.500 0.500
0.250 0.250 0.250
0.750 0.750 0.750
```


## FeCo2CuTe (PBE)

Data for FeCo2CuTe after structural relaxation.

Properties
ΔE_f (raw)   6.513 eV per formula unit
Symmetry   P4/mmm
Electronic total energy   -4.680 eV per atom

```
FeCo2CuTe
1.0
4.595 0.000 0.000
0.000 4.608 0.000
0.000 0.000 4.595
Te Co Fe Cu
1 2 1 1
direct
0.000 0.000 0.000
0.000 0.000 0.500
0.500 0.000 0.000
0.000 0.500 0.000
0.500 0.500 0.500
```


## TiFeCoCu (PBE)

Data for TiFeCoCu after structural relaxation.

Properties
Symmetry   F-43m
Electronic total energy   -6.955 eV per atom
Calculated formation energy   -65.5 meV per atom

```
TiFeCoCu
1.0
-2.511 3.221 0.380
-1.858 0.741 3.581
1.130 3.225 2.268
Co Fe Cu Ti
1 1 1 1
direct
0.000 0.000 0.000
0.500 0.500 0.500
0.750 0.750 0.750
0.250 0.250 0.250
```


## Ga2CoCu (PBE)

Data for Ga2CoCu after structural relaxation.

Properties
Symmetry   I-42d
Electronic total energy   -4.100 eV per atom
Calculated formation energy   214.4 meV per atom

```
Ga2CoCu
1.0
6.618 0.000 0.000
0.000 6.618 0.000
3.309 3.309 2.636
Co Cu Ga
2 2 4
direct
0.500 0.500 0.000
0.250 0.750 0.500
0.000 0.000 0.000
0.750 0.250 0.500
0.616 0.125 0.250
0.134 0.625 0.250
0.375 0.384 0.750
0.875 0.866 0.750
```


## Ga6CoCu (PBE)

Data for Ga6CoCu after structural relaxation.

Properties
Symmetry   C2/m
Electronic total energy   -3.670 eV per atom
Calculated formation energy   0.0 meV per atom

```
Ga6CoCu
1.0
-2.234 -4.108 2.543
3.873 -1.178 5.402
-0.312 1.979 4.873
Ga Co Cu
6 1 1
direct
0.798 0.629 0.574
0.798 0.203 0.426
0.202 0.797 0.574
0.202 0.371 0.426
0.631 0.798 0.000
0.369 0.202 0.000
0.500 0.500 0.000
0.000 0.000 0.000
```


## GaCoCu2 (PBE)

Data for GaCoCu2 after structural relaxation.

Properties
Symmetry   I-42d
Electronic total energy   -4.362 eV per atom
Calculated formation energy   219.6 meV per atom

```
GaCoCu2
1.0
3.394 0.000 0.000
0.000 3.394 0.000
1.697 1.697 8.782
Co Cu Ga
2 4 2
direct
0.500 0.500 0.000
0.250 0.750 0.500
0.622 0.125 0.250
0.128 0.625 0.250
0.375 0.378 0.750
0.875 0.872 0.750
0.000 0.000 0.000
0.750 0.250 0.500
```


## Ga3CoCu (PBE)

Data for Ga3CoCu after structural relaxation.

Properties
Symmetry   P2_1/c
Electronic total energy   -4.182 eV per atom
Calculated formation energy   -125.5 meV per atom

```
Ga3CoCu
1.0
-3.528 -2.931 -4.307
-3.586 -1.858 4.201
-6.271 5.497 -2.922
Ga Co Cu
12 4 4
direct
0.254 0.641 0.609
0.246 0.141 0.891
0.746 0.359 0.391
0.754 0.859 0.109
0.827 0.097 0.651
0.673 0.597 0.849
0.173 0.903 0.349
0.327 0.403 0.151
0.657 0.849 0.420
0.843 0.349 0.080
0.343 0.151 0.580
0.157 0.651 0.920
0.990 0.639 0.221
0.510 0.139 0.279
0.010 0.361 0.779
0.490 0.861 0.721
0.381 0.839 0.061
0.119 0.339 0.439
0.619 0.161 0.939
0.881 0.661 0.561
```


## Ga5Co4Cu (PBE)

Data for Ga5Co4Cu after structural relaxation.

Properties
Symmetry   P4/mmm
Electronic total energy   -4.988 eV per atom
Calculated formation energy   -222.5 meV per atom

```
Ga5Co4Cu
1.0
-1.357 2.434 -0.758
-1.278 -1.393 -2.184
-11.304 -3.542 8.872
Ga Co Cu
5 4 1
direct
0.500 0.500 0.110
0.500 0.500 0.305
0.500 0.500 0.500
0.500 0.500 0.695
0.500 0.500 0.890
0.000 0.000 0.207
0.000 0.000 0.403
0.000 0.000 0.597
0.000 0.000 0.793
0.000 0.000 0.000
```


The lowest electronic total energy belongs to which entry? TaFeCoCu


Copy entry 8 word for word.
## Ga2CoCu (PBE)

Data for Ga2CoCu after structural relaxation.

Properties
Symmetry   I-42d
Electronic total energy   -4.100 eV per atom
Calculated formation energy   214.4 meV per atom

```
Ga2CoCu
1.0
6.618 0.000 0.000
0.000 6.618 0.000
3.309 3.309 2.636
Co Cu Ga
2 2 4
direct
0.500 0.500 0.000
0.250 0.750 0.500
0.000 0.000 0.000
0.750 0.250 0.500
0.616 0.125 0.250
0.134 0.625 0.250
0.375 0.384 0.750
0.875 0.866 0.750
```


Number 4 is which compound? Ta2FeCoCu